CrAgRh2 | PBE-GGA | optimized geometry

Cell lengths 4.669, 4.669, 2.851 Å; angles 90.00, 90.00, 106.15 degrees
Atoms (fractional coordinates):
Cr1 0.000 0.000 0.000
Ag1 0.500 0.500 0.000
Rh1 0.000 0.500 0.500
Rh2 0.500 0.000 0.500

Summary:
uncorrected energy: -26.224 eV/f.u.
total magnetization: 0.665 μB/atom
Fermi-level density of states: 6.42 states/eV/f.u.
ΔH_f (0 K): 0.238 eV per atom
calculated density: 10.2 g cm⁻³

CrAgRh2 | PBE-GGA | optimized geometry

Cell lengths 3.934, 3.934, 3.833 Å; angles 90.00, 90.00, 90.00 degrees
Atoms (fractional coordinates):
Cr1 0.000 0.000 0.000
Ag1 0.500 0.500 0.000
Rh1 0.000 0.500 0.500
Rh2 0.500 0.000 0.500

Summary:
uncorrected energy: -26.334 eV/f.u.
total magnetization: 0.501 μB/atom
Fermi-level density of states: 7.91 states/eV/f.u.
ΔH_f (0 K): 0.211 eV per atom
calculated density: 10.2 g cm⁻³

CrAgRh2 | PBE-GGA | optimized geometry

Cell lengths 2.683, 2.683, 9.131 Å; angles 90.00, 90.00, 116.81 degrees
Atoms (fractional coordinates):
Cr1 0.000 0.000 0.000
Ag1 0.000 0.000 0.500
Rh1 0.500 0.500 0.226
Rh2 0.500 0.500 0.774

Summary:
uncorrected energy: -26.367 eV/f.u.
total magnetization: 0.000 μB/atom
Fermi-level density of states: 4.40 states/eV/f.u.
ΔH_f (0 K): 0.203 eV per atom
calculated density: 10.4 g cm⁻³

CrAg2Rh | PBE-GGA | optimized geometry

Cell lengths 3.110, 4.465, 4.670 Å; angles 90.00, 90.00, 90.00 degrees
Atoms (fractional coordinates):
Cr1 0.000 0.000 0.000
Ag1 0.000 0.500 0.500
Ag2 0.500 0.000 0.500
Rh1 0.500 0.500 0.000

Summary:
uncorrected energy: -21.433 eV/f.u.
total magnetization: 0.994 μB/atom
excess energy over the best structure of this formula in the dataset: 143 meV per atom
Fermi-level density of states: 4.07 states/eV/f.u.
ΔH_f (0 K): 0.311 eV per atom
calculated density: 9.5 g cm⁻³

CrAgRh2 | PBE-GGA | optimized geometry

Cell lengths 5.561, 5.561, 5.561 Å; angles 103.57, 103.57, 122.06 degrees
Atoms (fractional coordinates):
Cr1 0.000 0.000 0.000
Cr2 0.750 0.250 0.500
Ag1 0.250 0.750 0.500
Ag2 0.500 0.500 0.000
Rh1 0.074 0.625 0.949
Rh2 0.375 0.324 0.449
Rh3 0.676 0.125 0.051
Rh4 0.875 0.926 0.551

Summary:
uncorrected energy: -25.525 eV/f.u.
total magnetization: 0.228 μB/atom
Fermi-level density of states: 2.44 states/eV/f.u.
ΔH_f (0 K): 0.413 eV per atom
calculated density: 9.5 g cm⁻³

Cr4AgRh | PBE-GGA | optimized geometry

Cell lengths 4.799, 4.799, 4.799 Å; angles 60.00, 60.00, 60.00 degrees
Atoms (fractional coordinates):
Cr1 0.377 0.377 0.377
Cr2 0.377 0.377 0.868
Cr3 0.377 0.868 0.377
Cr4 0.868 0.377 0.377
Ag1 0.750 0.750 0.750
Rh1 0.000 0.000 0.000

Summary:
uncorrected energy: -47.146 eV/f.u.
total magnetization: 0.000 μB/atom
Fermi-level density of states: 7.71 states/eV/f.u.
ΔH_f (0 K): 0.258 eV per atom
calculated density: 8.9 g cm⁻³

CrAg2Rh | PBE-GGA | optimized geometry

Cell lengths 9.431, 9.431, 9.431 Å; angles 16.88, 16.88, 16.88 degrees
Atoms (fractional coordinates):
Cr1 0.000 0.000 0.000
Ag1 0.249 0.249 0.249
Ag2 0.491 0.491 0.491
Rh1 0.735 0.735 0.735

Summary:
uncorrected energy: -21.815 eV/f.u.
total magnetization: 0.000 μB/atom
excess energy over the best structure of this formula in the dataset: 47 meV per atom
Fermi-level density of states: 2.98 states/eV/f.u.
ΔH_f (0 K): 0.216 eV per atom
calculated density: 10.0 g cm⁻³

CrAg2Rh | PBE-GGA | optimized geometry

Cell lengths 4.434, 4.434, 4.434 Å; angles 60.00, 60.00, 60.00 degrees
Atoms (fractional coordinates):
Cr1 0.000 0.000 0.000
Ag1 0.250 0.250 0.250
Ag2 0.750 0.750 0.750
Rh1 0.500 0.500 0.500

Summary:
uncorrected energy: -19.827 eV/f.u.
total magnetization: 0.000 μB/atom
excess energy over the best structure of this formula in the dataset: 544 meV per atom
Fermi-level density of states: 6.44 states/eV/f.u.
ΔH_f (0 K): 0.713 eV per atom
calculated density: 10.0 g cm⁻³

CrAg2Rh | PBE-GGA | optimized geometry

Cell lengths 2.680, 2.680, 8.514 Å; angles 90.00, 90.00, 90.00 degrees
Atoms (fractional coordinates):
Cr1 0.000 0.000 0.000
Ag1 0.500 0.500 0.245
Ag2 0.500 0.500 0.755
Rh1 0.000 0.000 0.500

Summary:
uncorrected energy: -20.457 eV/f.u.
total magnetization: 0.070 μB/atom
excess energy over the best structure of this formula in the dataset: 386 meV per atom
Fermi-level density of states: 4.20 states/eV/f.u.
ΔH_f (0 K): 0.555 eV per atom
calculated density: 10.1 g cm⁻³

CrAg2Rh | PBE-GGA | optimized geometry

Cell lengths 5.104, 5.104, 5.104 Å; angles 135.62, 135.62, 64.56 degrees
Atoms (fractional coordinates):
Cr1 0.000 0.000 0.000
Ag1 0.250 0.750 0.500
Ag2 0.750 0.250 0.500
Rh1 0.500 0.500 0.000

Summary:
uncorrected energy: -21.435 eV/f.u.
total magnetization: 0.816 μB/atom
excess energy over the best structure of this formula in the dataset: 142 meV per atom
Fermi-level density of states: 5.67 states/eV/f.u.
ΔH_f (0 K): 0.311 eV per atom
calculated density: 9.6 g cm⁻³

CrAg2Rh | PBE-GGA | optimized geometry

Cell lengths 4.509, 4.509, 4.509 Å; angles 60.00, 60.00, 60.00 degrees
Atoms (fractional coordinates):
Cr1 0.000 0.000 0.000
Ag1 0.500 0.500 0.500
Ag2 0.750 0.750 0.750
Rh1 0.250 0.250 0.250

Summary:
uncorrected energy: -21.355 eV/f.u.
total magnetization: 0.898 μB/atom
excess energy over the best structure of this formula in the dataset: 162 meV per atom
Fermi-level density of states: 4.80 states/eV/f.u.
ΔH_f (0 K): 0.330 eV per atom
calculated density: 9.5 g cm⁻³

Cr2Ag2RhS6 | PBE-GGA | optimized geometry

Cell lengths 5.930, 5.930, 7.464 Å; angles 96.80, 96.80, 118.65 degrees
Atoms (fractional coordinates):
Cr1 0.148 0.852 0.000
Cr2 0.852 0.148 0.000
Ag1 0.340 0.660 0.500
Ag2 0.660 0.340 0.500
Rh1 0.500 0.500 0.000
S1 0.121 0.121 0.808
S2 0.213 0.553 0.172
S3 0.447 0.787 0.828
S4 0.553 0.213 0.172
S5 0.787 0.447 0.828
S6 0.879 0.879 0.192

Summary:
uncorrected energy: -61.918 eV/f.u.
total magnetization: 0.454 μB/atom
Fermi-level density of states: 2.10 states/eV/f.u.
formation energy (no corrections): -0.44 eV/atom
calculated density: 4.6 g cm⁻³

CrAgSn2Rh | PBE-GGA | optimized geometry

Cell lengths 4.982, 4.982, 5.224 Å; angles 90.00, 90.00, 90.00 degrees
Atoms (fractional coordinates):
Cr1 0.000 0.000 0.000
Ag1 0.500 0.500 0.000
Sn1 0.000 0.500 0.500
Sn2 0.500 0.000 0.500
Rh1 0.500 0.500 0.500

Summary:
uncorrected energy: -25.230 eV/f.u.
total magnetization: 0.986 μB/atom
Fermi-level density of states: 3.22 states/eV/f.u.
ΔH_f (0 K): 0.520 eV per atom
calculated density: 6.4 g cm⁻³

Tl2CrAgRh | PBE-GGA | optimized geometry

Cell lengths 5.255, 5.255, 4.426 Å; angles 90.00, 90.00, 90.00 degrees
Atoms (fractional coordinates):
Tl1 0.000 0.500 0.000
Tl2 0.500 0.000 0.000
Cr1 0.000 0.000 0.000
Ag1 0.500 0.500 0.500
Rh1 0.000 0.000 0.500

Summary:
uncorrected energy: -20.569 eV/f.u.
total magnetization: 0.399 μB/atom
Fermi-level density of states: 3.55 states/eV/f.u.
ΔH_f (0 K): 0.798 eV per atom
calculated density: 9.1 g cm⁻³

Cr2AgRu | PBE-GGA | optimized geometry

Cell lengths 2.669, 2.669, 7.831 Å; angles 90.00, 90.00, 90.00 degrees
Atoms (fractional coordinates):
Cr1 0.000 0.000 0.225
Cr2 0.000 0.000 0.775
Ag1 0.500 0.500 0.500
Ru1 0.500 0.500 0.000

Summary:
uncorrected energy: -29.666 eV/f.u.
total magnetization: 0.000 μB/atom
Fermi-level density of states: 4.62 states/eV/f.u.
ΔH_f (0 K): 0.427 eV per atom
calculated density: 9.3 g cm⁻³

Cr2AgRu | PBE-GGA | optimized geometry

Cell lengths 4.686, 4.686, 4.686 Å; angles 130.81, 130.81, 72.12 degrees
Atoms (fractional coordinates):
Cr1 0.000 0.000 0.000
Cr2 0.750 0.250 0.500
Ag1 0.500 0.500 0.000
Ru1 0.250 0.750 0.500

Summary:
uncorrected energy: -29.392 eV/f.u.
total magnetization: 0.312 μB/atom
Fermi-level density of states: 5.57 states/eV/f.u.
ΔH_f (0 K): 0.496 eV per atom
calculated density: 9.0 g cm⁻³

Cr2AgRu | PBE-GGA | optimized geometry

Cell lengths 3.786, 3.786, 3.802 Å; angles 90.00, 90.00, 90.00 degrees
Atoms (fractional coordinates):
Cr1 0.000 0.500 0.000
Cr2 0.500 0.000 0.000
Ag1 0.000 0.000 0.500
Ru1 0.500 0.500 0.500

Summary:
uncorrected energy: -29.216 eV/f.u.
total magnetization: 0.122 μB/atom
Fermi-level density of states: 3.97 states/eV/f.u.
ΔH_f (0 K): 0.540 eV per atom
calculated density: 9.5 g cm⁻³

Cr2AgRu | PBE-GGA | optimized geometry

Cell lengths 4.868, 4.868, 4.577 Å; angles 108.26, 108.26, 34.14 degrees
Atoms (fractional coordinates):
Cr1 0.000 0.000 0.000
Cr2 0.716 0.716 0.260
Ag1 0.231 0.231 0.765
Ru1 0.454 0.454 0.442

Summary:
uncorrected energy: -29.706 eV/f.u.
total magnetization: 0.123 μB/atom
Fermi-level density of states: 3.66 states/eV/f.u.
ΔH_f (0 K): 0.417 eV per atom
calculated density: 9.0 g cm⁻³

Cr2AgRu | PBE-GGA | optimized geometry

Cell lengths 4.358, 4.358, 4.358 Å; angles 60.00, 60.00, 60.00 degrees
Atoms (fractional coordinates):
Cr1 0.000 0.000 0.000
Cr2 0.250 0.250 0.250
Ag1 0.500 0.500 0.500
Ru1 0.750 0.750 0.750

Summary:
uncorrected energy: -29.265 eV/f.u.
total magnetization: 0.550 μB/atom
Fermi-level density of states: 4.96 states/eV/f.u.
ΔH_f (0 K): 0.527 eV per atom
calculated density: 8.9 g cm⁻³

Cr2AgRu | PBE-GGA | optimized geometry

Cell lengths 9.133, 9.133, 9.133 Å; angles 16.83, 16.83, 16.83 degrees
Atoms (fractional coordinates):
Cr1 0.244 0.244 0.244
Cr2 0.756 0.756 0.756
Ag1 0.000 0.000 0.000
Ru1 0.500 0.500 0.500

Summary:
uncorrected energy: -29.590 eV/f.u.
total magnetization: 0.000 μB/atom
Fermi-level density of states: 4.93 states/eV/f.u.
ΔH_f (0 K): 0.446 eV per atom
calculated density: 9.3 g cm⁻³